1.
Material: Sb2AsIrAu
Method: DFT, SCAN
State: PBEsol geometry

The structure in POSCAR format:
```
Sb2AsIrAu
1.0
-0.1156 -1.9924 4.0011
-0.1759 -4.7415 -2.3661
5.2973 -0.2186 0.0443
Sb As Au Ir
2 1 1 1
Direct
0.0000 0.5000 0.0000 Sb
0.0000 0.0000 0.5000 Sb
0.0000 0.0000 0.0000 As
0.5000 0.5000 0.5000 Au
0.5000 0.0000 0.0000 Ir
```

Total energy   -45.954 eV/atom
SG   P4/mmm

=====

2.
Material: CsMn3Pd
Method: DFT, SCAN
State: PBEsol geometry

The structure in POSCAR format:
```
CsMn3Pd
1.0
-0.6109 -4.6753 -0.0268
2.1878 -0.2620 -4.1687
4.1320 -0.5525 2.2033
Pd Mn Cs
1 3 1
Direct
0.5000 0.5000 0.5000 Pd
0.0000 0.0000 0.5000 Mn
0.5000 0.0000 0.0000 Mn
0.0000 0.5000 0.0000 Mn
0.0000 0.0000 0.0000 Cs
```

Energy relative to the elements   2.27 eV per atom
SG   Pm-3m

=====

3.
Material: CrHgSN2
Method: DFT, SCAN
State: PBEsol geometry

The structure in POSCAR format:
```
CrHgSN2
1.0
-3.5872 0.0845 -0.6731
0.5340 -1.8822 -3.0822
-0.5794 -4.3304 2.5441
Cr N S Hg
1 2 1 1
Direct
0.0000 0.0000 0.0000 Cr
0.5000 0.0000 0.0000 N
0.0000 0.5000 0.0000 N
0.0000 0.0000 0.5000 S
0.5000 0.5000 0.5000 Hg
```

Total energy   -22.582 eV/atom
SG   P4/mmm

=====

4.
Material: Sb2IrRu
Method: DFT, SCAN
State: PBEsol geometry

The structure in POSCAR format:
```
Sb2IrRu
1.0
-0.8497 -1.6347 2.7941
3.7900 -0.8907 0.6315
0.5971 4.5616 2.8504
Ru Ir Sb
1 1 2
Direct
0.5000 0.5000 0.8012 Ru
0.0000 0.0000 0.4481 Ir
0.5000 0.5000 0.3094 Sb
0.0000 0.0000 0.9413 Sb
```

SG   Pmm2
Energy above the most stable polymorph in this dataset   0 meV/atom

=====

5.
Material: CsCrCl2
Method: DFT, SCAN
State: PBEsol geometry

The structure in POSCAR format:
```
CsCrCl2
1.0
-1.0463 -3.3798 -3.9435
3.6224 -3.5850 -1.4474
-0.7866 -5.1331 1.0492
Cl Cs Cr
2 1 1
Direct
0.2500 0.2500 0.2500 Cl
0.7500 0.7500 0.7500 Cl
0.5000 0.5000 0.5000 Cs
0.0000 0.0000 0.0000 Cr
```

Total energy   -19.024 eV/atom
SG   Fm-3m

=====

6.
Material: Sr2Ni
Method: DFT, SCAN
State: PBEsol geometry

The structure in POSCAR format:
```
Sr2Ni
1.0
-2.5169 -1.0902 -2.8662
2.9396 -5.8327 2.3826
-5.2350 -0.6583 4.8475
Sr Ni
4 2
Direct
0.7297 0.4595 0.0207 Sr
0.9921 0.9843 0.2135 Sr
0.2703 0.5405 0.5207 Sr
0.0079 0.0157 0.7135 Sr
0.3862 0.7723 0.9342 Ni
0.6138 0.2277 0.4342 Ni
```

Energy relative to the elements   0.16 eV per atom
SG   Cmc2_1